1.
# CoSb

A crystal of CoSb relaxed with PBEsol (SCAN, the Alexandria database).

Cell: 4.5734 4.5734 6.9424 Å, 108.12 108.12 45.57°
Closest atoms and distances in Å follow each position.
Fractional coordinates of all 6 atoms:
Co: 0.0000 0.0000 0.0000  5 Sb 2.51-2.64, 1 Co 2.71
Co: 0.0264 0.0264 0.6215  5 Sb 2.52, 2 Co 2.64-2.71
Co: 0.7918 0.7918 0.2568  6 Sb 2.47-2.70, 1 Co 2.64
Sb: 0.3014 0.3014 0.5533  5 Co 2.52-2.70
Sb: 0.4990 0.4990 0.2550  5 Co 2.47-2.51
Sb: 0.6768 0.6768 0.8764  6 Co 2.49-2.64

Formation energy without anion corrections in eV/atom: 0.209
Symmetry: No. 8
Total energy in eV for the cell shown: -162.4



2.
# CoSb

A crystal of CoSb relaxed with PBEsol (SCAN, the Alexandria database).

Cell: 3.1339 3.1339 3.1339 Å, 90.00 90.00 90.00°
Closest atoms and distances in Å follow each position.
Fractional coordinates of all 2 atoms:
Co: 0.0000 0.0000 0.0000  8 Sb 2.71
Sb: 0.5000 0.5000 0.5000  8 Co 2.71

Formation energy without anion corrections in eV/atom: 0.523
Symmetry: No. 221
Total energy in eV for the cell shown: -53.5



3.
# CoSb

A crystal of CoSb relaxed with PBEsol (SCAN, the Alexandria database).

Cell: 3.8215 3.8215 5.1218 Å, 90.00 90.00 120.00°
Closest atoms and distances in Å follow each position.
Fractional coordinates of all 4 atoms:
Co: 0.0000 0.0000 0.0000  6 Sb 2.55, 2 Co 2.56
Co: 0.0000 0.0000 0.5000  6 Sb 2.55, 2 Co 2.56
Sb: 0.3333 0.6667 0.2500  6 Co 2.55
Sb: 0.6667 0.3333 0.7500  6 Co 2.55

Formation energy without anion corrections in eV/atom: -0.068
Symmetry: No. 194
Total energy in eV for the cell shown: -109.4